(1)
A PBEsol-optimized structure of InAgSb2Te, computed with meta-GGA SCAN.

Calculated values
DOS(E_F)   4.257 states/eV/f.u.
Volume   30.78 Å³/atom
E_tot   -34.7696 eV per atom

a = 5.2900 Å, b = 5.2900 Å, c = 5.4998 Å
α = 90.00°, β = 90.00°, γ = 90.00°
Last column: nearest neighbours and their distance in Å.
Fractional coordinates of all 5 atoms:
Sb 0.0000 0.5000 0.0000  2 Ag 2.65
Sb 0.5000 0.0000 0.0000  2 Ag 2.65
Te 0.0000 0.0000 0.5000  2 Ag 2.75
Ag 0.0000 0.0000 0.0000  4 Sb 2.65, 2 Te 2.75
In 0.5000 0.5000 0.5000  4 Te 3.74, 8 Sb 3.82

***

(2)
A PBEsol-optimized structure of Pr5Sn10Ir4, computed with meta-GGA SCAN.

Calculated values
DOS(E_F)   7.911 states/eV/f.u.
Volume   23.81 Å³/atom
E_tot   -46.0711 eV per atom

a = 4.6317 Å, b = 13.9765 Å, c = 13.9765 Å
α = 90.00°, β = 90.00°, γ = 90.00°
Last column: nearest neighbours and their distance in Å.
Fractional coordinates of all 38 atoms:
Pr 0.0000 0.5000 0.5000  12 Sn 3.24-3.52, 4 Ir 3.46
Pr 0.0000 0.0000 0.0000  12 Sn 3.24-3.52, 4 Ir 3.46
Pr 0.5000 0.6766 0.1766  8 Sn 3.13-3.31, 4 Ir 3.31
Pr 0.5000 0.3234 0.8234  8 Sn 3.13-3.31, 4 Ir 3.31
Pr 0.5000 0.1766 0.3234  8 Sn 3.13-3.31, 4 Ir 3.31
Pr 0.5000 0.8234 0.6766  8 Sn 3.13-3.31, 4 Ir 3.31
Pr 0.5000 0.8880 0.3880  10 Sn 3.49-3.58, 4 Ir 3.61
Pr 0.5000 0.1120 0.6120  10 Sn 3.49-3.58, 4 Ir 3.61
Pr 0.5000 0.3880 0.1120  10 Sn 3.49-3.58, 4 Ir 3.61
Pr 0.5000 0.6120 0.8880  10 Sn 3.49-3.58, 4 Ir 3.61
Sn 0.0000 0.5701 0.0701  2 Ir 2.64, 1 Sn 2.77
Sn 0.0000 0.4299 0.9299  2 Ir 2.64, 1 Sn 2.77
Sn 0.0000 0.0701 0.4299  2 Ir 2.64, 1 Sn 2.77
Sn 0.0000 0.9299 0.5701  2 Ir 2.64, 1 Sn 2.77
Sn 0.0000 0.6561 0.6979  2 Ir 2.64-2.71, 1 Sn 2.89
Sn 0.0000 0.3439 0.3021  2 Ir 2.64-2.71, 1 Sn 2.89
Sn 0.0000 0.1561 0.8021  2 Ir 2.64-2.71, 1 Sn 2.89
Sn 0.0000 0.8439 0.1979  2 Ir 2.64-2.71, 1 Sn 2.89
Sn 0.0000 0.3021 0.6561  2 Ir 2.64-2.71, 1 Sn 2.89
Sn 0.0000 0.6979 0.3439  2 Ir 2.64-2.71, 1 Sn 2.89
Sn 0.0000 0.1979 0.1561  2 Ir 2.64-2.71, 1 Sn 2.89
Sn 0.0000 0.8021 0.8439  2 Ir 2.64-2.71, 1 Sn 2.89
Sn 0.5000 0.6624 0.5033  2 Ir 2.62
Sn 0.5000 0.3376 0.4967  2 Ir 2.62
Sn 0.5000 0.1624 0.9967  2 Ir 2.62
Sn 0.5000 0.8376 0.0033  2 Ir 2.62
Sn 0.5000 0.4967 0.6624  2 Ir 2.62
Sn 0.5000 0.5033 0.3376  2 Ir 2.62
Sn 0.5000 0.0033 0.1624  2 Ir 2.62
Sn 0.5000 0.9967 0.8376  2 Ir 2.62
Ir 0.0000 0.7464 0.5262  5 Sn 2.62-2.71
Ir 0.0000 0.2536 0.4738  5 Sn 2.62-2.71
Ir 0.0000 0.2464 0.9738  5 Sn 2.62-2.71
Ir 0.0000 0.7536 0.0262  5 Sn 2.62-2.71
Ir 0.0000 0.4738 0.7464  5 Sn 2.62-2.71
Ir 0.0000 0.5262 0.2536  5 Sn 2.62-2.71
Ir 0.0000 0.0262 0.2464  5 Sn 2.62-2.71
Ir 0.0000 0.9738 0.7536  5 Sn 2.62-2.71

***

(3)
A PBEsol-optimized structure of K2RbH, computed with meta-GGA SCAN.

Calculated values
DOS(E_F)   2.038 states/eV/f.u.
Volume   54.33 Å³/atom
E_tot   -10.2539 eV per atom

a = 8.5027 Å, b = 8.5027 Å, c = 8.5027 Å
α = 60.00°, β = 60.00°, γ = 60.00°
Last column: nearest neighbours and their distance in Å.
Fractional coordinates of all 8 atoms:
H 0.2500 0.2500 0.2500  4 K 2.60
H 0.0000 0.0000 0.0000  4 K 2.60
K 0.1250 0.1250 0.6250  2 H 2.60
K 0.1250 0.1250 0.1250  2 H 2.60
K 0.6250 0.1250 0.1250  2 H 2.60
K 0.1250 0.6250 0.1250  2 H 2.60
Rb 0.7500 0.7500 0.7500  12 K 4.99, 4 H 5.21, 4 Rb 5.21
Rb 0.5000 0.5000 0.5000  12 K 4.99, 4 H 5.21, 4 Rb 5.21